1.
Density functional theory data (PBE-GGA) for crystalline Tm3Cr5H12 at its relaxed geometry.

Unit cell a=9.7024 b=9.7024 c=9.7024 alpha=109.47 beta=109.47 gamma=109.47
Sites, in units of the cell vectors:
Tm: 0.1250 0.2500 0.3750
Tm: 0.1250 0.3750 0.7500
Tm: 0.2500 0.3750 0.1250
Tm: 0.2500 0.8750 0.6250
Tm: 0.3750 0.1250 0.2500
Tm: 0.3750 0.7500 0.1250
Tm: 0.6250 0.2500 0.8750
Tm: 0.6250 0.8750 0.7500
Tm: 0.7500 0.1250 0.3750
Tm: 0.7500 0.6250 0.8750
Tm: 0.8750 0.6250 0.2500
Tm: 0.8750 0.7500 0.6250
Cr: 0.0000 0.0000 0.0000
Cr: 0.0000 0.0000 0.5000
Cr: 0.0000 0.5000 0.0000
Cr: 0.0000 0.5000 0.5000
Cr: 0.1250 0.7500 0.8750
Cr: 0.1250 0.8750 0.2500
Cr: 0.2500 0.1250 0.8750
Cr: 0.2500 0.6250 0.3750
Cr: 0.3750 0.2500 0.6250
Cr: 0.3750 0.6250 0.7500
Cr: 0.5000 0.0000 0.0000
Cr: 0.5000 0.0000 0.5000
Cr: 0.5000 0.5000 0.0000
Cr: 0.5000 0.5000 0.5000
Cr: 0.6250 0.3750 0.2500
Cr: 0.6250 0.7500 0.3750
Cr: 0.7500 0.3750 0.6250
Cr: 0.7500 0.8750 0.1250
Cr: 0.8750 0.1250 0.7500
Cr: 0.8750 0.2500 0.1250
H: 0.0320 0.2009 0.1173
H: 0.0320 0.3312 0.9148
H: 0.0836 0.7009 0.6688
H: 0.0836 0.8827 0.4148
H: 0.0852 0.6173 0.4164
H: 0.0852 0.9680 0.6688
H: 0.1173 0.0320 0.2009
H: 0.1173 0.5852 0.9164
H: 0.1688 0.2009 0.5836
H: 0.1688 0.4680 0.5852
H: 0.2009 0.1173 0.0320
H: 0.2009 0.5836 0.1688
H: 0.2991 0.3312 0.9164
H: 0.2991 0.4680 0.3827
H: 0.3312 0.9148 0.0320
H: 0.3312 0.9164 0.2991
H: 0.3827 0.2991 0.4680
H: 0.3827 0.5836 0.9148
H: 0.4148 0.0836 0.8827
H: 0.4148 0.8312 0.5320
H: 0.4164 0.0852 0.6173
H: 0.4164 0.8312 0.7991
H: 0.4680 0.3827 0.2991
H: 0.4680 0.5852 0.1688
H: 0.5320 0.4148 0.8312
H: 0.5320 0.6173 0.7009
H: 0.5836 0.1688 0.2009
H: 0.5836 0.9148 0.3827
H: 0.5852 0.1688 0.4680
H: 0.5852 0.9164 0.1173
H: 0.6173 0.4164 0.0852
H: 0.6173 0.7009 0.5320
H: 0.6688 0.0836 0.7009
H: 0.6688 0.0852 0.9680
H: 0.7009 0.5320 0.6173
H: 0.7009 0.6688 0.0836
H: 0.7991 0.4164 0.8312
H: 0.7991 0.8827 0.9680
H: 0.8312 0.5320 0.4148
H: 0.8312 0.7991 0.4164
H: 0.8827 0.4148 0.0836
H: 0.8827 0.9680 0.7991
H: 0.9148 0.0320 0.3312
H: 0.9148 0.3827 0.5836
H: 0.9164 0.1173 0.5852
H: 0.9164 0.2991 0.3312
H: 0.9680 0.6688 0.0852
H: 0.9680 0.7991 0.8827

Computed properties:
M_tot   8.4 μB/f.u.
Space group   Ia-3d (230)
E   -416.77 eV for the cell shown

***

2.
Density functional theory data (PBE-GGA) for crystalline Pm4US5 at its relaxed geometry.

Unit cell a=10.6664 b=10.6664 c=10.6664 alpha=158.53 beta=149.31 gamma=37.76
Sites, in units of the cell vectors:
Pm: 0.0999 0.0999 0.0000
Pm: 0.3053 0.3053 0.0000
Pm: 0.6947 0.6947 0.0000
Pm: 0.9001 0.9001 0.0000
U: 0.5000 0.5000 0.0000
S: 0.0000 0.5000 0.5000
S: 0.2023 0.7023 0.5000
S: 0.4044 0.9044 0.5000
S: 0.5956 0.0956 0.5000
S: 0.7977 0.2977 0.5000

Computed properties:
Formation energy (no corrections)   -1.891 eV/atom
M_tot   2.8 μB/f.u.
Space group   Immm (71)
E   -69.84 eV for the cell shown

***

3.
Density functional theory data (PBE-GGA) for crystalline Zr3C at its relaxed geometry.

Unit cell a=5.1941 b=5.1941 c=5.1941 alpha=115.75 beta=115.75 gamma=115.75
Sites, in units of the cell vectors:
Zr: 0.0000 0.5000 0.5000
Zr: 0.5000 0.0000 0.5000
Zr: 0.5000 0.5000 0.0000
C: 0.0000 0.0000 0.0000

Computed properties:
M_tot   0.0 μB/f.u.
Formation enthalpy at 0 K   82 kJ per mole of atoms
Space group   R-3m (166)
E   -31.46 eV for the cell shown

***

4.
Density functional theory data (PBE-GGA) for crystalline SrTl2CdCl6 at its relaxed geometry.

Unit cell a=7.6665 b=7.6665 c=7.6665 alpha=59.73 beta=59.73 gamma=59.73
Sites, in units of the cell vectors:
Sr: 0.0000 0.0000 0.0000
Tl: 0.2783 0.2783 0.2783
Tl: 0.7755 0.7755 0.7755
Cd: 0.4996 0.4996 0.4996
Cl: 0.1731 0.7168 0.3425
Cl: 0.2426 0.6549 0.8191
Cl: 0.3425 0.1731 0.7168
Cl: 0.6549 0.8191 0.2426
Cl: 0.7168 0.3425 0.1731
Cl: 0.8191 0.2426 0.6549

Computed properties:
Formation energy (no corrections)   -1.464 eV/atom
M_tot   0.0 μB/f.u.
Space group   R3 (146)
E   -33.05 eV for the cell shown

***

5.
Density functional theory data (PBE-GGA) for crystalline NbMoH at its relaxed geometry.

Unit cell a=2.8755 b=2.8755 c=5.1146 alpha=90.00 beta=90.00 gamma=120.00
Sites, in units of the cell vectors:
Nb: 0.0000 0.0000 0.0000
Mo: 0.6667 0.3333 0.4861
H: 0.3333 0.6667 0.7093

Computed properties:
M_tot   0.0 μB/f.u.
Space group   P3m1 (156)
E   -23.89 eV for the cell shown

***

6.
Density functional theory data (PBE-GGA) for crystalline Pm2ErCd2 at its relaxed geometry.

Unit cell a=5.9851 b=5.9851 c=5.9851 alpha=130.47 beta=108.63 gamma=91.80
Sites, in units of the cell vectors:
Pm: 0.1962 0.1962 0.0000
Pm: 0.8038 0.8038 0.0000
Er: 0.5000 0.0000 0.5000
Cd: 0.2119 0.5000 0.7119
Cd: 0.7881 0.5000 0.2881

Computed properties:
M_tot   0.0 μB/f.u.
Formation enthalpy at 0 K   -17 kJ per mole of atoms
Space group   Immm (71)
E   -16.80 eV for the cell shown

***

7.
Density functional theory data (PBE-GGA) for crystalline RbAlS2 at its relaxed geometry.

Unit cell a=6.6475 b=10.1623 c=6.5764 alpha=90.00 beta=90.00 gamma=90.00
Sites, in units of the cell vectors:
Rb: 0.0165 0.1231 0.0000
Rb: 0.4835 0.6231 0.5000
Rb: 0.5165 0.3769 0.0000
Rb: 0.9835 0.8769 0.5000
Al: 0.0354 0.3747 0.4655
Al: 0.4646 0.8747 0.9655
Al: 0.5354 0.1253 0.4655
Al: 0.9646 0.6253 0.9655
S: 0.0215 0.4317 0.1293
S: 0.1415 0.8111 0.0338
S: 0.3585 0.3111 0.5338
S: 0.4785 0.9317 0.6293
S: 0.5215 0.0683 0.1293
S: 0.6415 0.6889 0.0338
S: 0.8585 0.1889 0.5338
S: 0.9785 0.5683 0.6293

Computed properties:
Formation energy (no corrections)   -1.236 eV/atom
M_tot   0.0 μB/f.u.
Space group   Pna2_1 (33)
E   -71.63 eV for the cell shown

***

8.
Density functional theory data (PBE-GGA) for crystalline AgTe4As at its relaxed geometry.

Unit cell a=6.7763 b=6.7763 c=7.3131 alpha=122.44 beta=122.44 gamma=36.72
Sites, in units of the cell vectors:
Ag: 0.0000 0.0000 0.0000
Te: 0.1501 0.1501 0.4800
Te: 0.3520 0.3520 0.0154
Te: 0.6480 0.6480 0.9846
Te: 0.8499 0.8499 0.5200
As: 0.5000 0.5000 0.5000

Computed properties:
Formation energy (no corrections)   0.033 eV/atom
M_tot   0.0 μB/f.u.
Space group   C2/m (12)
E   -19.87 eV for the cell shown